# 1
Entry from Alexandria: a PBEsol-optimized structure of Er5Rh3 (meta-GGA SCAN).

a = 6.103 Å, b = 8.053 Å, c = 8.053 Å
α = 120.00°, β = 90.00°, γ = 90.00°
Positions (direct):
Rh 0.750 0.399 0.399
Rh 0.250 0.601 0.601
Rh 0.250 0.399 0.000
Rh 0.750 0.000 0.601
Rh 0.250 0.000 0.399
Rh 0.750 0.601 0.000
Er 0.500 0.333 0.667
Er 0.250 0.752 0.000
Er 0.750 0.248 0.000
Er 0.000 0.333 0.667
Er 0.000 0.667 0.333
Er 0.750 0.000 0.248
Er 0.750 0.752 0.752
Er 0.500 0.667 0.333
Er 0.250 0.000 0.752
Er 0.250 0.248 0.248

Results
As for the formation energy: -0.887 eV/atom. As for the space group: P6_3/mcm, No. 193.


# 2
Entry from Alexandria: a PBEsol-optimized structure of MgHPt3 (meta-GGA SCAN).

a = 3.981 Å, b = 3.981 Å, c = 3.981 Å
α = 90.00°, β = 90.00°, γ = 90.00°
Positions (direct):
Pt 0.000 0.500 0.000
Pt 0.000 0.000 0.500
Pt 0.500 0.000 0.000
H 0.000 0.000 0.000
Mg 0.500 0.500 0.500

Results
The total energy is -1.626 Ha/atom. As for the space group: Pm-3m, No. 221.


# 3
Entry from Alexandria: a PBEsol-optimized structure of ZnIr2Cl (meta-GGA SCAN).

a = 2.841 Å, b = 4.708 Å, c = 5.163 Å
α = 117.04°, β = 105.84°, γ = 90.28°
Positions (direct):
Ir 0.000 0.000 0.500
Ir 0.500 0.500 0.500
Zn 0.000 0.000 0.000
Cl 0.500 0.500 0.000

Results
The formation energy (no corrections) comes out at 0.53 eV per atom. As for the space group: C2/m, No. 12.


# 4
Entry from Alexandria: a PBEsol-optimized structure of Be4Os3 (meta-GGA SCAN).

a = 2.790 Å, b = 2.790 Å, c = 9.700 Å
α = 98.27°, β = 98.27°, γ = 90.00°
Positions (direct):
Be 0.128 0.128 0.256
Be 0.872 0.872 0.744
Be 0.431 0.431 0.862
Be 0.569 0.569 0.138
Os 0.000 0.000 0.000
Os 0.295 0.295 0.590
Os 0.705 0.705 0.410

Results
As for the formation energy: -0.261 eV/atom. As for the space group: I4/mmm, No. 139.


# 5
Entry from Alexandria: a PBEsol-optimized structure of Zn2CrSe (meta-GGA SCAN).

a = 2.633 Å, b = 2.633 Å, c = 9.024 Å
α = 90.00°, β = 90.00°, γ = 90.00°
Positions (direct):
Zn 0.000 0.000 0.199
Zn 0.000 0.000 0.801
Se 0.500 0.500 0.500
Cr 0.500 0.500 0.000

Results
The formation energy (no corrections) comes out at 0.34 eV per atom. As for the space group: P4/mmm, No. 123.


# 6
Entry from Alexandria: a PBEsol-optimized structure of Li2YAl (meta-GGA SCAN).

a = 4.867 Å, b = 4.867 Å, c = 4.867 Å
α = 60.00°, β = 60.00°, γ = 60.00°
Positions (direct):
Al 0.250 0.250 0.250
Y 0.500 0.500 0.500
Li 0.000 0.000 0.000
Li 0.750 0.750 0.750

Results
As for the formation energy: -0.144 eV/atom. As for the space group: F-43m, No. 216.


no.,ρ (g cm⁻³)
1,11.1
2,16.1
3,13.8
4,13.6
5,6.9
6,2.6